Entry 1:
Below is a relaxed MnOs2W crystal, with properties calculated at the GGA-PBE level.

a b c (Å): 2.7184 2.7184 7.6260
angles (deg): 90.00 90.00 90.00
Positions (direct):
Mn 0.0000 0.0000 0.0000
Os 0.0000 0.0000 0.4811
Os 0.5000 0.5000 0.2279
W 0.5000 0.5000 0.7502

- Formation energy: 141 meV per atom
- Energy relative to the lowest polymorph listed for this composition: 10.5 kJ/mol of atoms
- DOS at the Fermi energy: 3.299 states/eV/f.u.

Entry 2:
Below is a relaxed MnOs2W crystal, with properties calculated at the GGA-PBE level.

a b c (Å): 8.9752 8.9752 8.9752
angles (deg): 17.51 17.51 17.51
Positions (direct):
Mn 0.0000 0.0000 0.0000
Os 0.2570 0.2570 0.2570
Os 0.5029 0.5029 0.5029
W 0.7508 0.7508 0.7508

- Formation energy: 215 meV per atom
- Energy relative to the lowest polymorph listed for this composition: 17.6 kJ/mol of atoms
- DOS at the Fermi energy: 3.655 states/eV/f.u.

Entry 3:
Below is a relaxed MnOs2W crystal, with properties calculated at the GGA-PBE level.

a b c (Å): 2.7074 4.1801 5.2576
angles (deg): 90.00 103.93 90.00
Positions (direct):
Mn 0.0000 0.0000 0.0000
Os 0.3846 0.5000 0.2341
Os 0.6154 0.5000 0.7659
W 0.0000 0.0000 0.5000

- Formation energy: 202 meV per atom
- Energy relative to the lowest polymorph listed for this composition: 16.4 kJ/mol of atoms
- DOS at the Fermi energy: 4.364 states/eV/f.u.